Entry 1:
Density functional theory data (GGA-PBE) for a relaxed structure of Rb2LaBi2O6.

The space group is C2/m (No. 12) and the conventional cell measures 10.7482, 6.6933 and 7.7872 Å, with angles of 90.00, 116.93 and 90.00 degrees. The inequivalent atoms are Rb at (0.1998, 0.0000, 0.1491), La at (0.0000, 0.0000, 0.5000), Bi at (0.0660, 0.5000, 0.2398), O at (0.0490, 0.2542, 0.7472) and O at (0.2353, 0.0000, 0.5334).

As for the magnetization: 0.079 μB/atom. The electronic total energy is -124.2 eV for the cell shown. The density of states at the Fermi level is 5.7 states/eV per cell.

Entry 2:
Density functional theory data (GGA-PBE) for a relaxed structure of La2ReBiO.

The space group is P4/mmm (No. 123) and the conventional cell measures 6.1216, 6.1216 and 4.3118 Å, with angles of 90.00, 90.00 and 90.00 degrees. The inequivalent atoms are La at (0.0000, 0.5000, 0.0000), Re at (0.0000, 0.0000, 0.5000), Bi at (0.5000, 0.5000, 0.0000) and O at (0.5000, 0.5000, 0.5000).

As for the magnetization: 0.408 μB/atom. The electronic total energy is -27.1 eV for the cell shown. The density of states at the Fermi level is 6.5 states/eV per cell.

Entry 3:
Density functional theory data (GGA-PBE) for a relaxed structure of LaRe2BiO.

The space group is P4/mmm (No. 123) and the conventional cell measures 5.1855, 5.1855 and 4.5008 Å, with angles of 90.00, 90.00 and 90.00 degrees. The inequivalent atoms are La at (0.0000, 0.0000, 0.0000), Re at (0.0000, 0.5000, 0.5000), Bi at (0.5000, 0.5000, 0.5000) and O at (0.5000, 0.5000, 0.0000).

As for the magnetization: 0.796 μB/atom. The electronic total energy is -32.2 eV for the cell shown. The density of states at the Fermi level is 6.3 states/eV per cell.

Entry 4:
Density functional theory data (GGA-PBE) for a relaxed structure of La2BiRhO6.

The space group is P2_1/c (No. 14) and the conventional cell measures 5.7631, 6.1166 and 9.9776 Å, with angles of 90.00, 123.41 and 90.00 degrees. The inequivalent atoms are La at (0.2257, 0.0643, 0.2496), Bi at (0.5000, 0.0000, 0.0000), Rh at (0.0000, 0.0000, 0.5000), O at (0.1036, 0.2098, 0.9305), O at (0.2331, 0.6850, 0.9375) and O at (0.3602, 0.0569, 0.7303).

As for the magnetization: 0.000 μB/atom. The electronic total energy is -144.9 eV for the cell shown.